[1]
First-principles (PBE) data for a relaxed structure of YCd2Au, as listed in Alexandria via LeMat-Bulk.

Cell: 8.321 8.321 6.560 Å, 50.64 50.64 90.00°
Sites, in units of the cell vectors:
Y (0.500, 0.500, 0.000)
Y (0.250, 0.750, 0.500)
Au (0.000, 0.000, 0.000)
Au (0.750, 0.250, 0.500)
Cd (0.664, 0.125, 0.250)
Cd (0.086, 0.625, 0.250)
Cd (0.375, 0.336, 0.750)
Cd (0.875, 0.914, 0.750)

Summary:
As for the formation energy: -0.216 eV/atom. As for the crystal system: tetragonal.



[2]
First-principles (PBE) data for a relaxed structure of KTaAg2, as listed in Alexandria via LeMat-Bulk.

Cell: 7.949 7.949 6.557 Å, 52.69 52.69 90.00°
Sites, in units of the cell vectors:
K (0.500, 0.500, 0.000)
K (0.250, 0.750, 0.500)
Ag (0.673, 0.125, 0.250)
Ag (0.077, 0.625, 0.250)
Ag (0.375, 0.327, 0.750)
Ag (0.875, 0.923, 0.750)
Ta (0.000, 0.000, 0.000)
Ta (0.750, 0.250, 0.500)

Summary:
Its distance to the lowest polymorph of the same formula is 0.704 eV per atom. As for the formation energy: 1.183 eV/atom. As for the crystal system: tetragonal.



[3]
First-principles (PBE) data for a relaxed structure of ZrMnSi2W, as listed in Alexandria via LeMat-Bulk.

Cell: 4.629 4.710 4.629 Å, 90.00 90.00 90.00°
Sites, in units of the cell vectors:
Si (0.000, 0.000, 0.500)
Si (0.500, 0.000, 0.000)
Mn (0.000, 0.500, 0.000)
Zr (0.500, 0.500, 0.500)
W (0.000, 0.000, 0.000)

Summary:
The calculation puts the formation energy without anion corrections at 0.73 eV/atom. As for the crystal system: tetragonal.